VASP calculation (PBEsol) on a relaxed structure of MnNbSbC2.

Geometry as CIF:
```
data_MnNbSbC2
_chemical_formula_sum 'Mn1 Nb1 Sb1 C2'
_space_group_name_H-M_alt 'P 4/m m m'
_space_group_IT_number 123
_space_group_name_Hall '-P 4 2'
_cell_length_a 4.116
_cell_length_b 4.116
_cell_length_c 5.094
_cell_angle_alpha 90.00
_cell_angle_beta 90.00
_cell_angle_gamma 90.00
loop_
_atom_site_label
_atom_site_type_symbol
_atom_site_fract_x
_atom_site_fract_y
_atom_site_fract_z
_atom_site_occupancy
Mn1 Mn 0.000 0.000 0.000 1
Nb1 Nb 0.000 0.000 0.500 1
Sb1 Sb 0.500 0.500 0.000 1
C1 C 0.000 0.500 0.500 1
```

Output
**E_form (uncorrected)**: 1.70 eV per atom
**Volume**: 86.3 Å³ per cell
**Energy**: -35.9 eV for the cell shown